Material: Zr5CdBi
Method: DFT, PBE
State: optimized geometry

Summary:
Formation energy (eV per atom): 0.0765
Crystal system: orthorhombic

a = 8.027 Å, b = 8.027 Å, c = 10.361 Å
α = 49.79°, β = 49.79°, γ = 81.01°
Fractional positions:
Bi1 0.000 0.000 0.000
Zr1 0.757 0.243 0.250
Zr2 0.263 0.269 0.984
Zr3 0.000 0.500 0.751
Zr4 0.000 0.500 0.249
Zr5 0.737 0.731 0.016
Zr6 0.269 0.263 0.484
Bi2 0.000 0.000 0.500
Zr7 0.500 0.000 0.749
Zr8 0.731 0.737 0.516
Zr9 0.243 0.757 0.750
Cd1 0.257 0.743 0.250
Zr10 0.500 0.000 0.251
Cd2 0.743 0.257 0.750

Material: Zr5Cd2Bi
Method: DFT, PBE
State: optimized geometry

Summary:
Formation energy (eV per atom): -0.1573
Crystal system: tetragonal

a = 4.461 Å, b = 4.461 Å, c = 9.587 Å
α = 103.45°, β = 103.45°, γ = 90.00°
Fractional positions:
Zr1 0.500 0.500 0.000
Zr2 0.874 0.374 0.748
Bi1 0.000 0.000 0.000
Cd1 0.250 0.250 0.499
Zr3 0.374 0.874 0.748
Cd2 0.750 0.750 0.501
Zr4 0.626 0.126 0.252
Zr5 0.126 0.626 0.252

no.,spin magnetization (μB per cell)
1,0.00
2,0.00